Entry 1:
Below is an optimized crystal structure of Tm3BiP2, with properties calculated at the PBE level.

Lattice parameters (Å, degrees): 6.599 6.599 9.683 90.00 90.00 136.20
Fractional coordinates of all 12 atoms:
Tm 0.094 0.906 0.750
Tm 0.376 0.624 0.546
Tm 0.376 0.624 0.954
Tm 0.624 0.376 0.046
Tm 0.624 0.376 0.454
Tm 0.906 0.094 0.250
Bi 0.218 0.782 0.250
Bi 0.782 0.218 0.750
P 0.000 0.000 0.000
P 0.000 0.000 0.500
P 0.471 0.529 0.250
P 0.529 0.471 0.750

Output
* E_form: -920 meV per atom

Entry 2:
Below is an optimized crystal structure of GdTlAgSn, with properties calculated at the PBE level.

Lattice parameters (Å, degrees): 5.206 5.206 5.206 60.00 60.00 60.00
Fractional coordinates of all 4 atoms:
Gd 0.000 0.000 0.000
Tl 0.250 0.250 0.250
Ag 0.500 0.500 0.500
Sn 0.750 0.750 0.750

Output
* E_form: -229 meV per atom